{"formula": "Er6TlTe5", "functional": "GGA-PBE", "state": "optimized geometry", "total_magnetization_mub_per_cell": 0.00, "spacegroup": "C2/m", "e_form_raw_ev_per_atom": -1.0988, "cell": [[-6.906, -2.908, -0.519], [-0.784, -5.482, 5.103], [-2.547, 1.602, 6.886]], "species": ["Tl", "Te", "Te", "Te", "Te", "Te", "Er", "Er", "Er", "Er", "Er", "Er"], "fractional_positions": [[0.000, 0.000, 0.000], [0.500, 0.172, 0.655], [0.000, 0.335, 0.330], [0.500, 0.500, 0.000], [0.000, 0.665, 0.670], [0.500, 0.828, 0.345], [0.758, 0.079, 0.323], [0.242, 0.597, 0.323], [0.248, 0.238, 0.000], [0.752, 0.762, 0.000], [0.758, 0.403, 0.677], [0.242, 0.921, 0.677]]}